The following is a PBE-GGA calculation of a relaxed structure of Th3Ge2Rh, from Alexandria via LeMat-Bulk.

Output
energy relative to the elements = -77.4 kJ/mol of atoms
energy = -7.276 eV/atom

Unit cell a=11.969 b=4.307 c=11.692 alpha=90.00 beta=90.00 gamma=90.00
Space group Pnma (No. 62)
Symmetry-distinct sites (fractional):
Th1 0.051 0.250 0.127
Th2 0.123 0.750 0.559
Th3 0.219 0.250 0.800
Ge1 0.013 0.750 0.310
Ge2 0.188 0.750 0.004
Rh1 0.130 0.250 0.374

The following is a PBE-GGA calculation of a relaxed structure of TbTmCoRu, from Alexandria via LeMat-Bulk.

Output
energy relative to the elements = -25.7 kJ/mol of atoms
energy = -6.637 eV/atom

Unit cell a=3.354 b=4.728 c=4.759 alpha=90.00 beta=90.00 gamma=90.00
Space group Pmmm (No. 47)
Symmetry-distinct sites (fractional):
Tb1 0.000 0.000 0.000
Tm1 0.000 0.500 0.500
Co1 0.500 0.500 0.000
Ru1 0.500 0.000 0.500

The following is a PBE-GGA calculation of a relaxed structure of Zr2TcP, from Alexandria via LeMat-Bulk.

Output
energy relative to the elements = -43.2 kJ/mol of atoms
energy = -8.666 eV/atom

Unit cell a=3.577 b=5.074 c=7.990 alpha=90.00 beta=90.00 gamma=90.00
Space group Cmmm (No. 65)
Symmetry-distinct sites (fractional):
Zr1 0.000 0.000 0.239
Tc1 0.000 0.500 0.500
P1 0.000 0.500 0.000

The following is a PBE-GGA calculation of a relaxed structure of SmP3Ru5, from Alexandria via LeMat-Bulk.

Output
energy relative to the elements = -55.7 kJ/mol of atoms
energy = -8.059 eV/atom

Unit cell a=3.893 b=12.180 c=11.998 alpha=90.00 beta=90.00 gamma=90.00
Space group Cmcm (No. 63)
Symmetry-distinct sites (fractional):
Sm1 0.000 0.161 0.250
P1 0.000 0.131 0.750
P2 0.000 0.387 0.545
Ru1 0.000 0.000 0.000
Ru2 0.000 0.206 0.574
Ru3 0.000 0.443 0.147

The following is a PBE-GGA calculation of a relaxed structure of Zn6AgAu2, from Alexandria via LeMat-Bulk.

Output
energy relative to the elements = -9.0 kJ/mol of atoms
energy = -1.987 eV/atom

Unit cell a=13.533 b=7.393 c=3.165 alpha=90.00 beta=101.02 gamma=90.00
Space group C2/m (No. 12)
Symmetry-distinct sites (fractional):
Zn1 0.000 0.193 0.000
Zn2 0.166 0.303 0.669
Ag1 0.000 0.500 0.500
Au1 0.168 0.000 0.167

The following is a PBE-GGA calculation of a relaxed structure of Ba11InIr2, from Alexandria via LeMat-Bulk.

Output
energy relative to the elements = -0.5 kJ/mol of atoms
energy = -2.977 eV/atom

Unit cell a=14.338 b=14.431 c=15.918 alpha=90.00 beta=90.00 gamma=90.00
Space group Ibam (No. 72)
Symmetry-distinct sites (fractional):
Ba1 0.000 0.000 0.000
Ba2 0.070 0.277 0.138
Ba3 0.190 0.198 0.500
Ba4 0.222 0.438 0.365
In1 0.000 0.500 0.250
Ir1 0.163 0.160 0.000

The following is a PBE-GGA calculation of a relaxed structure of KLiMn2, from Alexandria via LeMat-Bulk.

Output
energy relative to the elements = 128.5 kJ/mol of atoms
energy = -4.006 eV/atom

Unit cell a=3.431 b=3.431 c=10.680 alpha=90.00 beta=90.00 gamma=90.00
Space group I4/mmm (No. 139)
Symmetry-distinct sites (fractional):
K1 0.000 0.000 0.000
Li1 0.000 0.000 0.500
Mn1 0.000 0.500 0.250

The following is a PBE-GGA calculation of a relaxed structure of AcGePt2, from Alexandria via LeMat-Bulk.

Output
energy relative to the elements = -53.4 kJ/mol of atoms
energy = -5.755 eV/atom

Unit cell a=3.552 b=3.552 c=6.841 alpha=90.00 beta=90.00 gamma=90.00
Space group P4/mmm (No. 123)
Symmetry-distinct sites (fractional):
Ac1 0.000 0.000 0.000
Ge1 0.000 0.000 0.500
Pt1 0.500 0.500 0.296

The following is a PBE-GGA calculation of a relaxed structure of Na4Y3InSe8, from Alexandria via LeMat-Bulk.

Output
energy = -4.926 eV/atom

Unit cell a=8.2414 b=8.2414 c=21.1181 alpha=90.00 beta=90.00 gamma=120.00
Space group R-3m (No. 166, hexagonal axes)
Symmetry-distinct sites (fractional):
Na1 0.0000 0.0000 0.0000
Na2 0.0000 0.5000 0.0000
Y1 0.0000 0.5000 0.5000
In1 0.0000 0.0000 0.5000
Se1 0.0000 0.0000 0.2431
Se2 0.0057 0.5029 0.2428

The following is a PBE-GGA calculation of a relaxed structure of KIr2Rh, from Alexandria via LeMat-Bulk.

Output
energy relative to the elements = 52.2 kJ/mol of atoms
energy = -6.002 eV/atom

Unit cell a=8.897 b=2.746 c=6.803 alpha=90.00 beta=96.32 gamma=90.00
Space group Cm (No. 8)
Symmetry-distinct sites (fractional):
K1 0.000 0.000 0.000
Ir1 0.235 0.000 0.646
Ir2 0.499 0.000 0.523
Rh1 0.271 0.500 0.331

The following is a PBE-GGA calculation of a relaxed structure of Nb2IBr8, from Alexandria via LeMat-Bulk.

Output
energy = -3.942 eV/atom

Unit cell a=8.560 b=12.212 c=8.852 alpha=90.00 beta=93.73 gamma=90.00
Space group C2/m (No. 12)
Symmetry-distinct sites (fractional):
Nb1 0.131 0.000 0.206
I1 0.000 0.000 0.500
Br1 0.090 0.201 0.209
Br2 0.092 0.500 0.708
Br3 0.187 0.000 0.925

The following is a PBE-GGA calculation of a relaxed structure of AsIrOs2, from Alexandria via LeMat-Bulk.

Output
energy relative to the elements = 27.3 kJ/mol of atoms
energy = -8.709 eV/atom

Unit cell a=2.850 b=3.973 c=5.402 alpha=90.00 beta=105.29 gamma=90.00
Space group Pm (No. 6)
Symmetry-distinct sites (fractional):
As1 0.000 0.000 0.000
Ir1 0.601 0.500 0.197
Os1 0.240 0.000 0.475
Os2 0.856 0.500 0.708